1.
Here is crystalline ZrCoF6 at its relaxed geometry from Alexandria via LeMat-Bulk. Energies are from PBE+U.

Calculated values
**Symmetry**: R-3m, No. 166
**Total DFT energy (no corrections)**: -6.23 eV per atom
**Total moment**: 3.00 μB per cell
**DOS at the Fermi energy**: 0.000 states/eV/cell

Lattice parameters (Å, degrees): 5.802 5.802 5.767 59.73 59.73 59.90
Fractional coordinates of all 8 atoms:
Co 0.000 0.000 0.000
Zr 0.500 0.500 0.500
F 0.252 0.750 0.249
F 0.750 0.252 0.249
F 0.250 0.748 0.751
F 0.748 0.250 0.751
F 0.251 0.251 0.751
F 0.749 0.749 0.249



2.
Here is crystalline HfVI2O at its relaxed geometry from Alexandria via LeMat-Bulk. Energies are from PBE+U.

Calculated values
**Symmetry**: P4/mmm, No. 123
**Energy above the lowest structure with this stoichiometry**: 0 meV/atom
**Total moment**: 4.34 μB per cell
**DOS at the Fermi energy**: 2.205 states/eV/cell

Lattice parameters (Å, degrees): 5.849 5.849 3.960 90.00 90.00 90.00
Fractional coordinates of all 5 atoms:
I 0.000 0.500 0.000
I 0.500 0.000 0.000
Hf 0.000 0.000 0.000
O 0.000 0.000 0.500
V 0.500 0.500 0.500